[1]
Pt2PbBr: optimized geometry, PBE-GGA.

Properties
Electronic total energy ... -3.99 eV per atom

The structure in POSCAR format:
```
Pt2PbBr
1.0
-1.941 1.941 5.654
1.941 -1.941 5.654
1.941 1.941 -5.654
Pt Pb Br
2 1 1
direct
0.000 0.000 0.000
0.750 0.250 0.500
0.500 0.500 0.000
0.250 0.750 0.500
```


[2]
Hf3Ti2NbSb3: optimized geometry, PBE-GGA.

Properties
Electronic total energy ... -7.61 eV per atom

The structure in POSCAR format:
```
Hf3Ti2NbSb3
1.0
8.010 0.000 0.000
-4.005 6.937 0.000
0.000 0.000 3.358
Hf Ti Nb Sb
3 2 1 3
direct
0.000 0.716 0.000
0.284 0.284 0.000
0.716 0.000 0.000
0.333 0.667 0.000
0.667 0.333 0.000
0.000 0.000 0.500
0.000 0.378 0.500
0.378 0.000 0.500
0.622 0.622 0.500
```


In eV per atom, the E_form (uncorrected) values for the records above are, in order, 0.3746, -0.0400.